# SmGaPdRh PBE relaxed
# DOS(E_F)   12.96 states/eV/cell
# Formation energy from the elements   -0.679 eV per atom
data_SmGaPdRh
_chemical_formula_sum 'Sm4 Ga4 Pd4 Rh4'
_space_group_name_H-M_alt 'P 1'
_space_group_IT_number 1
_space_group_name_Hall 'P 1'
_cell_length_a 6.634
_cell_length_b 6.634
_cell_length_c 6.634
_cell_angle_alpha 90.00
_cell_angle_beta 90.00
_cell_angle_gamma 90.00
loop_
_atom_site_label
_atom_site_type_symbol
_atom_site_fract_x
_atom_site_fract_y
_atom_site_fract_z
Sm1 Sm 0.000 0.000 0.000
Sm2 Sm 0.000 0.500 0.500
Sm3 Sm 0.500 0.000 0.500
Sm4 Sm 0.500 0.500 0.000
Ga1 Ga 0.000 0.000 0.500
Ga2 Ga 0.000 0.500 0.000
Ga3 Ga 0.500 0.000 0.000
Ga4 Ga 0.500 0.500 0.500
Pd1 Pd 0.250 0.250 0.750
Pd2 Pd 0.250 0.750 0.250
Pd3 Pd 0.750 0.250 0.250
Pd4 Pd 0.750 0.750 0.750
Rh1 Rh 0.250 0.250 0.250
Rh2 Rh 0.250 0.750 0.750
Rh3 Rh 0.750 0.250 0.750
Rh4 Rh 0.750 0.750 0.250



# SmGa2PdRh PBE relaxed
# DOS(E_F)   4.50 states/eV/cell
# Formation energy from the elements   -0.794 eV per atom
data_SmGa2PdRh
_chemical_formula_sum 'Sm2 Ga4 Pd2 Rh2'
_space_group_name_H-M_alt 'P 1'
_space_group_IT_number 1
_space_group_name_Hall 'P 1'
_cell_length_a 4.199
_cell_length_b 4.199
_cell_length_c 10.546
_cell_angle_alpha 90.00
_cell_angle_beta 90.00
_cell_angle_gamma 90.00
loop_
_atom_site_label
_atom_site_type_symbol
_atom_site_fract_x
_atom_site_fract_y
_atom_site_fract_z
Sm1 Sm 0.000 0.000 0.000
Sm2 Sm 0.500 0.500 0.500
Ga1 Ga 0.000 0.000 0.379
Ga2 Ga 0.000 0.000 0.621
Ga3 Ga 0.500 0.500 0.121
Ga4 Ga 0.500 0.500 0.879
Pd1 Pd 0.000 0.500 0.750
Pd2 Pd 0.500 0.000 0.250
Rh1 Rh 0.000 0.500 0.250
Rh2 Rh 0.500 0.000 0.750



# Sm2Ga5Pd2Rh PBE relaxed
# DOS(E_F)   15.30 states/eV/cell
# Formation energy from the elements   -0.590 eV per atom
data_Sm2Ga5Pd2Rh
_chemical_formula_sum 'Sm4 Ga10 Pd4 Rh2'
_space_group_name_H-M_alt 'P 1'
_space_group_IT_number 1
_space_group_name_Hall 'P 1'
_cell_length_a 9.730
_cell_length_b 9.730
_cell_length_c 3.969
_cell_angle_alpha 90.00
_cell_angle_beta 90.00
_cell_angle_gamma 90.00
loop_
_atom_site_label
_atom_site_type_symbol
_atom_site_fract_x
_atom_site_fract_y
_atom_site_fract_z
Sm1 Sm 0.186 0.314 0.000
Sm2 Sm 0.314 0.814 0.000
Sm3 Sm 0.686 0.186 0.000
Sm4 Sm 0.814 0.686 0.000
Ga1 Ga 0.000 0.500 0.500
Ga2 Ga 0.047 0.807 0.500
Ga3 Ga 0.193 0.047 0.500
Ga4 Ga 0.307 0.547 0.500
Ga5 Ga 0.453 0.307 0.500
Ga6 Ga 0.500 0.000 0.500
Ga7 Ga 0.547 0.693 0.500
Ga8 Ga 0.693 0.453 0.500
Ga9 Ga 0.807 0.953 0.500
Ga10 Ga 0.953 0.193 0.500
Pd1 Pd 0.113 0.613 0.000
Pd2 Pd 0.387 0.113 0.000
Pd3 Pd 0.613 0.887 0.000
Pd4 Pd 0.887 0.387 0.000
Rh1 Rh 0.000 0.000 0.000
Rh2 Rh 0.500 0.500 0.000



# Sr2Ga4PdRh3 PBE relaxed
# DOS(E_F)   5.13 states/eV/cell
# Formation energy from the elements   -0.689 eV per atom
data_Sr2Ga4PdRh3
_chemical_formula_sum 'Sr2 Ga4 Pd1 Rh3'
_space_group_name_H-M_alt 'P 1'
_space_group_IT_number 1
_space_group_name_Hall 'P 1'
_cell_length_a 4.348
_cell_length_b 4.348
_cell_length_c 10.367
_cell_angle_alpha 90.00
_cell_angle_beta 90.00
_cell_angle_gamma 90.00
loop_
_atom_site_label
_atom_site_type_symbol
_atom_site_fract_x
_atom_site_fract_y
_atom_site_fract_z
Sr1 Sr 0.000 0.500 0.248
Sr2 Sr 0.500 0.000 0.752
Ga1 Ga 0.000 0.000 0.500
Ga2 Ga 0.000 0.500 0.872
Ga3 Ga 0.500 0.000 0.128
Ga4 Ga 0.500 0.500 0.500
Pd1 Pd 0.500 0.500 0.000
Rh1 Rh 0.000 0.000 0.000
Rh2 Rh 0.000 0.500 0.627
Rh3 Rh 0.500 0.000 0.373



# Sr2Ga5PdRh2 PBE relaxed
# DOS(E_F)   10.10 states/eV/cell
# Formation energy from the elements   -0.432 eV per atom
data_Sr2Ga5PdRh2
_chemical_formula_sum 'Sr4 Ga10 Pd2 Rh4'
_space_group_name_H-M_alt 'P 1'
_space_group_IT_number 1
_space_group_name_Hall 'P 1'
_cell_length_a 10.426
_cell_length_b 10.426
_cell_length_c 3.587
_cell_angle_alpha 90.00
_cell_angle_beta 90.00
_cell_angle_gamma 90.00
loop_
_atom_site_label
_atom_site_type_symbol
_atom_site_fract_x
_atom_site_fract_y
_atom_site_fract_z
Sr1 Sr 0.185 0.315 0.000
Sr2 Sr 0.315 0.815 0.000
Sr3 Sr 0.685 0.185 0.000
Sr4 Sr 0.815 0.685 0.000
Ga1 Ga 0.000 0.500 0.500
Ga2 Ga 0.051 0.810 0.500
Ga3 Ga 0.190 0.051 0.500
Ga4 Ga 0.310 0.551 0.500
Ga5 Ga 0.449 0.310 0.500
Ga6 Ga 0.500 0.000 0.500
Ga7 Ga 0.551 0.690 0.500
Ga8 Ga 0.690 0.449 0.500
Ga9 Ga 0.810 0.949 0.500
Ga10 Ga 0.949 0.190 0.500
Pd1 Pd 0.000 0.000 0.000
Pd2 Pd 0.500 0.500 0.000
Rh1 Rh 0.116 0.616 0.000
Rh2 Rh 0.384 0.116 0.000
Rh3 Rh 0.616 0.884 0.000
Rh4 Rh 0.884 0.384 0.000



# TbGa2PdRh PBE relaxed
# DOS(E_F)   4.29 states/eV/cell
# Formation energy from the elements   -0.791 eV per atom
data_TbGa2PdRh
_chemical_formula_sum 'Tb2 Ga4 Pd2 Rh2'
_space_group_name_H-M_alt 'P 1'
_space_group_IT_number 1
_space_group_name_Hall 'P 1'
_cell_length_a 4.168
_cell_length_b 4.168
_cell_length_c 10.503
_cell_angle_alpha 90.00
_cell_angle_beta 90.00
_cell_angle_gamma 90.00
loop_
_atom_site_label
_atom_site_type_symbol
_atom_site_fract_x
_atom_site_fract_y
_atom_site_fract_z
Tb1 Tb 0.000 0.000 0.000
Tb2 Tb 0.500 0.500 0.500
Ga1 Ga 0.000 0.000 0.380
Ga2 Ga 0.000 0.000 0.620
Ga3 Ga 0.500 0.500 0.120
Ga4 Ga 0.500 0.500 0.880
Pd1 Pd 0.000 0.500 0.250
Pd2 Pd 0.500 0.000 0.750
Rh1 Rh 0.000 0.500 0.750
Rh2 Rh 0.500 0.000 0.250



# TbGaPdRh PBE relaxed
# DOS(E_F)   12.33 states/eV/cell
# Formation energy from the elements   -0.757 eV per atom
data_TbGaPdRh
_chemical_formula_sum 'Tb4 Ga4 Pd4 Rh4'
_space_group_name_H-M_alt 'P 1'
_space_group_IT_number 1
_space_group_name_Hall 'P 1'
_cell_length_a 6.561
_cell_length_b 6.561
_cell_length_c 6.561
_cell_angle_alpha 90.00
_cell_angle_beta 90.00
_cell_angle_gamma 90.00
loop_
_atom_site_label
_atom_site_type_symbol
_atom_site_fract_x
_atom_site_fract_y
_atom_site_fract_z
Tb1 Tb 0.000 0.000 0.000
Tb2 Tb 0.000 0.500 0.500
Tb3 Tb 0.500 0.000 0.500
Tb4 Tb 0.500 0.500 0.000
Ga1 Ga 0.000 0.000 0.500
Ga2 Ga 0.000 0.500 0.000
Ga3 Ga 0.500 0.000 0.000
Ga4 Ga 0.500 0.500 0.500
Pd1 Pd 0.250 0.250 0.750
Pd2 Pd 0.250 0.750 0.250
Pd3 Pd 0.750 0.250 0.250
Pd4 Pd 0.750 0.750 0.750
Rh1 Rh 0.250 0.250 0.250
Rh2 Rh 0.250 0.750 0.750
Rh3 Rh 0.750 0.250 0.750
Rh4 Rh 0.750 0.750 0.250



# Tb2Ga5Pd2Rh PBE relaxed
# DOS(E_F)   12.32 states/eV/cell
# Formation energy from the elements   -0.612 eV per atom
data_Tb2Ga5Pd2Rh
_chemical_formula_sum 'Tb4 Ga10 Pd4 Rh2'
_space_group_name_H-M_alt 'P 1'
_space_group_IT_number 1
_space_group_name_Hall 'P 1'
_cell_length_a 9.419
_cell_length_b 9.419
_cell_length_c 4.122
_cell_angle_alpha 90.00
_cell_angle_beta 90.00
_cell_angle_gamma 90.00
loop_
_atom_site_label
_atom_site_type_symbol
_atom_site_fract_x
_atom_site_fract_y
_atom_site_fract_z
Tb1 Tb 0.184 0.316 0.000
Tb2 Tb 0.316 0.816 0.000
Tb3 Tb 0.684 0.184 0.000
Tb4 Tb 0.816 0.684 0.000
Ga1 Ga 0.000 0.500 0.500
Ga2 Ga 0.052 0.805 0.500
Ga3 Ga 0.195 0.052 0.500
Ga4 Ga 0.305 0.552 0.500
Ga5 Ga 0.448 0.305 0.500
Ga6 Ga 0.500 0.000 0.500
Ga7 Ga 0.552 0.695 0.500
Ga8 Ga 0.695 0.448 0.500
Ga9 Ga 0.805 0.948 0.500
Ga10 Ga 0.948 0.195 0.500
Pd1 Pd 0.114 0.614 0.000
Pd2 Pd 0.386 0.114 0.000
Pd3 Pd 0.614 0.886 0.000
Pd4 Pd 0.886 0.386 0.000
Rh1 Rh 0.000 0.000 0.000
Rh2 Rh 0.500 0.500 0.000



# Tb2Ga4Pd3Rh PBE relaxed
# DOS(E_F)   6.48 states/eV/cell
# Formation energy from the elements   -0.796 eV per atom
data_Tb2Ga4Pd3Rh
_chemical_formula_sum 'Tb2 Ga4 Pd3 Rh1'
_space_group_name_H-M_alt 'P 1'
_space_group_IT_number 1
_space_group_name_Hall 'P 1'
_cell_length_a 4.189
_cell_length_b 4.189
_cell_length_c 10.601
_cell_angle_alpha 90.00
_cell_angle_beta 90.00
_cell_angle_gamma 90.00
loop_
_atom_site_label
_atom_site_type_symbol
_atom_site_fract_x
_atom_site_fract_y
_atom_site_fract_z
Tb1 Tb 0.000 0.500 0.244
Tb2 Tb 0.500 0.000 0.756
Ga1 Ga 0.000 0.000 0.500
Ga2 Ga 0.000 0.500 0.871
Ga3 Ga 0.500 0.000 0.129
Ga4 Ga 0.500 0.500 0.500
Pd1 Pd 0.000 0.000 0.000
Pd2 Pd 0.000 0.500 0.638
Pd3 Pd 0.500 0.000 0.362
Rh1 Rh 0.500 0.500 0.000



# Tb2Ga4PdRh3 PBE relaxed
# DOS(E_F)   4.54 states/eV/cell
# Formation energy from the elements   -0.799 eV per atom
data_Tb2Ga4PdRh3
_chemical_formula_sum 'Tb2 Ga4 Pd1 Rh3'
_space_group_name_H-M_alt 'P 1'
_space_group_IT_number 1
_space_group_name_Hall 'P 1'
_cell_length_a 4.209
_cell_length_b 4.209
_cell_length_c 10.321
_cell_angle_alpha 90.00
_cell_angle_beta 90.00
_cell_angle_gamma 90.00
loop_
_atom_site_label
_atom_site_type_symbol
_atom_site_fract_x
_atom_site_fract_y
_atom_site_fract_z
Tb1 Tb 0.000 0.500 0.248
Tb2 Tb 0.500 0.000 0.752
Ga1 Ga 0.000 0.000 0.500
Ga2 Ga 0.000 0.500 0.869
Ga3 Ga 0.500 0.000 0.131
Ga4 Ga 0.500 0.500 0.500
Pd1 Pd 0.500 0.500 0.000
Rh1 Rh 0.000 0.000 0.000
Rh2 Rh 0.000 0.500 0.633
Rh3 Rh 0.500 0.000 0.367



# ThGaPdRh PBE relaxed
# DOS(E_F)   9.62 states/eV/cell
# Formation energy from the elements   -0.687 eV per atom
data_ThGaPdRh
_chemical_formula_sum 'Th4 Ga4 Pd4 Rh4'
_space_group_name_H-M_alt 'P 1'
_space_group_IT_number 1
_space_group_name_Hall 'P 1'
_cell_length_a 6.780
_cell_length_b 6.780
_cell_length_c 6.780
_cell_angle_alpha 90.00
_cell_angle_beta 90.00
_cell_angle_gamma 90.00
loop_
_atom_site_label
_atom_site_type_symbol
_atom_site_fract_x
_atom_site_fract_y
_atom_site_fract_z
Th1 Th 0.000 0.000 0.000
Th2 Th 0.000 0.500 0.500
Th3 Th 0.500 0.000 0.500
Th4 Th 0.500 0.500 0.000
Ga1 Ga 0.000 0.000 0.500
Ga2 Ga 0.000 0.500 0.000
Ga3 Ga 0.500 0.000 0.000
Ga4 Ga 0.500 0.500 0.500
Pd1 Pd 0.250 0.250 0.250
Pd2 Pd 0.250 0.750 0.750
Pd3 Pd 0.750 0.250 0.750
Pd4 Pd 0.750 0.750 0.250
Rh1 Rh 0.250 0.250 0.750
Rh2 Rh 0.250 0.750 0.250
Rh3 Rh 0.750 0.250 0.250
Rh4 Rh 0.750 0.750 0.750



Respective E values: -5.75, -5.46, -4.82, -4.96, -4.27, -5.44, -5.81, -4.82, -5.23, -5.66, -6.43 eV per atom.